Record 1
A crystal of Tl2Hg2Bi relaxed with PBEsol. Source: Alexandria via LeMat-Bulk, functional SCAN.

Lattice parameters (Å, degrees): 9.392 9.392 9.392 155.19 155.19 35.37
Element x y z (fractional)
Tl  0.100  0.100  0.000
Tl  0.900  0.900  0.000
Hg  0.250  0.750  0.500
Hg  0.750  0.250  0.500
Bi  0.500  0.500  0.000

Output
Fermi-level density of states = 2.20 states/eV/cell
energy of formation from the pure elements = 0.06 eV per atom
calculated density = 11.6 Mg/m³
energy above the lowest structure with this stoichiometry = 0.048 eV per atom

Record 2
A crystal of ZrTlHg2Bi relaxed with PBEsol. Source: Alexandria via LeMat-Bulk, functional SCAN.

Lattice parameters (Å, degrees): 5.514 5.514 5.569 90.00 90.00 90.00
Element x y z (fractional)
Zr  0.000  0.000  0.000
Tl  0.500  0.500  0.500
Hg  0.000  0.500  0.000
Hg  0.500  0.000  0.000
Bi  0.000  0.000  0.500

Output
Fermi-level density of states = 2.05 states/eV/cell
energy of formation from the pure elements = 0.16 eV per atom
calculated density = 8.9 Mg/m³

Record 3
A crystal of Hg3BiW relaxed with PBEsol. Source: Alexandria via LeMat-Bulk, functional SCAN.

Lattice parameters (Å, degrees): 5.201 5.201 5.201 90.00 90.00 90.00
Element x y z (fractional)
Hg  0.000  0.000  0.500
Hg  0.000  0.500  0.000
Hg  0.500  0.000  0.000
Bi  0.500  0.500  0.500
W  0.000  0.000  0.000

Output
Fermi-level density of states = 3.74 states/eV/cell
energy of formation from the pure elements = 1.09 eV per atom
calculated density = 11.7 Mg/m³

Record 4
A crystal of HgBiW3 relaxed with PBEsol. Source: Alexandria via LeMat-Bulk, functional SCAN.

Lattice parameters (Å, degrees): 4.961 4.961 4.961 90.00 90.00 90.00
Element x y z (fractional)
Hg  0.000  0.000  0.000
Bi  0.500  0.500  0.500
W  0.000  0.500  0.500
W  0.500  0.000  0.500
W  0.500  0.500  0.000

Output
Fermi-level density of states = 4.94 states/eV/cell
energy of formation from the pure elements = 3.34 eV per atom
calculated density = 13.1 Mg/m³

Record 5
A crystal of Y3HgBi relaxed with PBEsol. Source: Alexandria via LeMat-Bulk, functional SCAN.

Lattice parameters (Å, degrees): 5.518 5.518 5.518 90.00 90.00 90.00
Element x y z (fractional)
Y  0.000  0.000  0.500
Y  0.000  0.500  0.000
Y  0.500  0.000  0.000
Hg  0.000  0.000  0.000
Bi  0.500  0.500  0.500

Output
Fermi-level density of states = 2.04 states/eV/cell
energy of formation from the pure elements = -0.33 eV per atom
calculated density = 6.7 Mg/m³

Record 6
A crystal of YHg2Bi2 relaxed with PBEsol. Source: Alexandria via LeMat-Bulk, functional SCAN.

Lattice parameters (Å, degrees): 9.202 9.202 9.202 154.31 154.31 36.66
Element x y z (fractional)
Y  0.000  0.000  0.000
Hg  0.250  0.750  0.500
Hg  0.750  0.250  0.500
Bi  0.412  0.412  0.000
Bi  0.588  0.588  0.000

Output
Fermi-level density of states = 2.00 states/eV/cell
energy of formation from the pure elements = -0.30 eV per atom
calculated density = 10.3 Mg/m³

Record 7
A crystal of ZnHg2Bi relaxed with PBEsol. Source: Alexandria via LeMat-Bulk, functional SCAN.

Lattice parameters (Å, degrees): 5.086 5.086 5.086 60.00 60.00 60.00
Element x y z (fractional)
Zn  0.000  0.000  0.000
Hg  0.250  0.250  0.250
Hg  0.750  0.750  0.750
Bi  0.500  0.500  0.500

Output
Fermi-level density of states = 2.05 states/eV/cell
energy of formation from the pure elements = 0.26 eV per atom
calculated density = 12.1 Mg/m³

Record 8
A crystal of Zr2HgBi relaxed with PBEsol. Source: Alexandria via LeMat-Bulk, functional SCAN.

Lattice parameters (Å, degrees): 4.999 4.999 4.999 60.00 60.00 60.00
Element x y z (fractional)
Zr  0.250  0.250  0.250
Zr  0.750  0.750  0.750
Hg  0.000  0.000  0.000
Bi  0.500  0.500  0.500

Output
Fermi-level density of states = 3.74 states/eV/cell
energy of formation from the pure elements = -0.24 eV per atom
calculated density = 11.1 Mg/m³

- Look up the Fermi-level density of states of the fourth one.
  4.94 states/eV/cell